First-principles (PBE-GGA) data for a geometry-optimized MgCdCl2 structure, as listed in Alexandria via LeMat-Bulk.

```
MgCdCl2
1.0
3.995 0.000 0.000
0.000 6.780 -0.115
0.000 4.614 3.722
Cd Cl Mg
1 2 1
Cartesian
0.000 2.307 1.861
1.998 3.390 -0.058
0.000 0.000 0.000
1.998 5.697 1.803
```

Summary:
DOS(E_F)   2.1 states/eV per cell
Uncorrected energy   -2.123 eV/atom
Calculated volume   103 Å³/f.u.
Offset from the most stable computed form   2.77 eV/f.u.
Raw formation energy   -0.572 eV per atom



First-principles (PBE-GGA) data for a geometry-optimized SbTe2P structure, as listed in Alexandria via LeMat-Bulk.

```
SbTe2P
1.0
-4.232 -2.942 0.671
-4.707 2.202 0.099
-3.300 -0.744 -3.945
Te P Sb
2 1 1
Cartesian
-3.060 -0.371 -0.794
-9.179 -1.112 -2.381
0.000 0.000 0.000
-6.119 -0.742 -1.588
```

Summary:
DOS(E_F)   2.6 states/eV per cell
Uncorrected energy   -3.464 eV/atom
Calculated volume   99 Å³/f.u.
Offset from the most stable computed form   1.33 eV/f.u.
Raw formation energy   0.490 eV per atom



First-principles (PBE-GGA) data for a geometry-optimized Ho2Pt2Au structure, as listed in Alexandria via LeMat-Bulk.

```
Ho2Pt2Au
1.0
-0.204 0.160 -3.692
-7.433 -1.452 0.347
-1.434 7.434 0.401
Ho Au Pt
4 2 4
Cartesian
-6.751 1.332 -1.425
-2.803 0.858 -1.663
-6.268 5.284 -1.280
-2.320 4.810 -1.518
0.000 0.000 0.000
-4.433 2.991 0.374
-7.359 3.437 0.555
-3.981 5.919 0.476
-4.886 0.063 0.272
-1.508 2.545 0.194
```

Summary:
DOS(E_F)   5.3 states/eV per cell
Uncorrected energy   -6.028 eV/atom
Calculated formation energy   -1.1256 eV per atom
Calculated volume   106 Å³/f.u.



First-principles (PBE-GGA) data for a geometry-optimized Pm6SmY2Th structure, as listed in Alexandria via LeMat-Bulk.

```
Pm6SmY2Th
1.0
9.177 -1.944 -2.018
0.906 8.676 -1.933
0.906 -2.254 8.598
Pm Y Th Sm
12 4 2 2
Cartesian
4.256 3.057 0.763
9.635 5.294 -1.541
1.354 -0.816 6.188
2.144 4.801 2.573
6.733 1.421 3.885
5.942 5.242 -1.595
5.046 -0.764 6.242
8.706 -0.078 6.039
6.872 -2.532 3.492
4.117 7.010 1.155
2.283 4.556 -1.392
8.845 -0.323 2.074
5.490 4.490 3.587
0.910 2.032 1.036
5.499 -0.012 1.060
10.078 2.446 3.611
7.789 2.744 0.864
3.200 1.734 3.783
3.200 7.849 -2.110
7.789 -3.371 6.757
```

Summary:
DOS(E_F)   29.3 states/eV per cell
Uncorrected energy   -5.212 eV/atom
Calculated formation energy   0.1446 eV per atom
Calculated volume   342 Å³/f.u.



First-principles (PBE-GGA) data for a geometry-optimized Nd4SmIn structure, as listed in Alexandria via LeMat-Bulk.

```
Nd4SmIn
1.0
5.775 0.000 0.000
0.000 6.512 0.000
-2.887 0.000 10.764
Nd Sm In
8 2 2
Cartesian
0.000 4.808 0.941
0.000 3.798 4.051
2.887 2.765 1.310
2.887 1.553 9.824
0.000 0.327 5.371
2.887 0.542 6.714
0.000 6.020 9.454
2.887 3.583 5.393
2.887 6.166 2.934
0.000 2.910 7.830
0.000 1.237 2.224
2.887 4.493 8.541
```

Summary:
DOS(E_F)   15.4 states/eV per cell
Uncorrected energy   -4.450 eV/atom
Calculated formation energy   -0.0284 eV per atom
Calculated volume   202 Å³/f.u.
Offset from the most stable computed form   0.68 eV/f.u.



First-principles (PBE-GGA) data for a geometry-optimized V3HgCl12 structure, as listed in Alexandria via LeMat-Bulk.

```
V3HgCl12
1.0
11.291 0.000 5.452
4.329 10.428 5.452
0.758 0.506 12.848
Cl V Hg
24 6 2
Cartesian
5.024 0.631 12.628
5.003 6.259 11.734
8.605 2.220 12.172
5.709 5.592 8.398
11.132 4.398 16.792
2.093 0.792 2.407
15.170 10.164 16.514
11.486 10.114 14.719
7.986 10.135 14.457
7.772 5.153 17.486
12.010 6.888 9.193
8.563 8.451 8.033
3.839 7.182 5.310
9.940 9.359 11.656
11.774 1.927 13.640
4.076 5.202 15.717
9.723 7.096 14.283
4.252 8.595 14.822
13.799 6.731 14.745
9.396 4.668 7.216
11.432 3.128 10.368
6.314 1.770 15.691
3.535 3.490 10.165
8.452 1.629 5.748
9.790 9.184 13.789
3.597 7.206 16.320
4.805 0.559 14.761
9.555 4.223 18.236
10.666 1.739 11.812
4.174 5.520 9.896
1.253 0.837 11.822
8.684 5.798 10.850
```

Summary:
DOS(E_F)   40.4 states/eV per cell
Uncorrected energy   -4.179 eV/atom
Calculated volume   725 Å³/f.u.
Raw formation energy   -1.066 eV per atom



First-principles (PBE-GGA) data for a geometry-optimized GaHSe2 structure, as listed in Alexandria via LeMat-Bulk.

```
GaHSe2
1.0
2.238 0.000 6.308
-1.119 1.938 6.308
-1.119 -1.938 6.308
H Se Ga
1 2 1
Cartesian
0.000 0.000 0.000
0.000 0.000 1.775
0.000 0.000 17.149
0.000 0.000 9.462
```

Summary:
DOS(E_F)   0.0 states/eV per cell
Uncorrected energy   -3.542 eV/atom
Calculated volume   82 Å³/f.u.
Offset from the most stable computed form   0.63 eV/f.u.



First-principles (PBE-GGA) data for a geometry-optimized SrAlFe2 structure, as listed in Alexandria via LeMat-Bulk.

```
SrAlFe2
1.0
-8.295 2.235 -3.543
-9.030 -0.313 -2.169
-8.993 2.252 -0.640
Fe Sr Al
2 1 1
Cartesian
-0.327 0.052 -0.079
-12.832 2.035 -3.097
-6.579 1.044 -1.588
-19.738 3.131 -4.764
```

Summary:
DOS(E_F)   4.6 states/eV per cell
Uncorrected energy   -4.838 eV/atom
Calculated formation energy   0.7490 eV per atom
Calculated volume   71 Å³/f.u.



- The highest uncorrected energy belongs to which entry?
  MgCdCl2